{"formula": "SiMoOs2", "functional": "GGA-PBE", "state": "optimized geometry", "lattice": [[5.1429, -0.0032, -0.0004], [2.4156, 4.5402, 0.0004], [-3.2168, -3.2055, 2.4137]], "species": ["Os", "Os", "Mo", "Si"], "fractional_positions": [[0.9715, 0.9715, 0.0000], [0.5285, 0.5285, 0.0000], [0.2500, 0.7500, 0.5000], [0.7500, 0.2500, 0.5000]], "energy_ev_per_cell": -39.4, "dos_ef_per_ev_atom": 0.69, "raw_formation_energy_mev_per_atom": -162}

***

{"formula": "SiMoOs", "functional": "GGA-PBE", "state": "optimized geometry", "lattice": [[-0.9540, -2.2609, -1.4778], [4.2722, -4.0454, 3.4312], [-9.2047, -2.0373, 9.0587]], "species": ["Os", "Os", "Os", "Os", "Os", "Os", "Si", "Si", "Si", "Si", "Si", "Si", "Mo", "Mo", "Mo", "Mo", "Mo", "Mo"], "fractional_positions": [[0.5000, 0.1187, 0.7500], [0.5000, 0.8813, 0.2500], [0.5000, 0.5611, 0.5999], [0.5000, 0.5611, 0.9001], [0.5000, 0.4389, 0.4001], [0.5000, 0.4389, 0.0999], [0.5000, 0.9192, 0.9053], [0.5000, 0.0808, 0.0947], [0.0000, 0.5909, 0.2500], [0.5000, 0.0808, 0.4053], [0.0000, 0.4091, 0.7500], [0.5000, 0.9192, 0.5947], [0.0000, 0.2303, 0.9453], [0.0000, 0.7685, 0.7500], [0.0000, 0.7697, 0.4453], [0.0000, 0.2315, 0.2500], [0.0000, 0.7697, 0.0547], [0.0000, 0.2303, 0.5547]], "energy_ev_per_cell": -168.3, "dos_ef_per_ev_atom": 0.58, "raw_formation_energy_mev_per_atom": -187}

***

{"formula": "Si3MoOs", "functional": "GGA-PBE", "state": "optimized geometry", "lattice": [[-1.0438, 2.4939, -3.7555], [1.7542, -3.3263, -2.6964], [-4.1528, -2.0319, -0.1951]], "species": ["Os", "Si", "Si", "Si", "Mo"], "fractional_positions": [[0.0000, 0.0000, 0.0000], [0.5000, 0.0000, 0.0000], [0.0000, 0.5000, 0.0000], [0.0000, 0.0000, 0.5000], [0.5000, 0.5000, 0.5000]], "energy_ev_per_cell": -33.0, "dos_ef_per_ev_atom": 0.70, "raw_formation_energy_mev_per_atom": 1074}